No. 1
The following is a DFT calculation (PBE-GGA) of Cr3GeN after structural relaxation.

a b c (Å): 3.8230 3.8230 3.8230
angles (deg): 90.00 90.00 90.00
Positions (direct):
Cr (0.0000, 0.5000, 0.0000)
Cr (0.0000, 0.0000, 0.5000)
Cr (0.5000, 0.0000, 0.0000)
Ge (0.5000, 0.5000, 0.5000)
N (0.0000, 0.0000, 0.0000)

Properties
Energy above the most stable polymorph in this dataset   46 meV per atom
Crystal system   cubic
Energy relative to the elements, uncorrected   -1.1 eV/f.u.


No. 2
The following is a DFT calculation (PBE-GGA) of Dy5Pd2Pt2 after structural relaxation.

a b c (Å): 7.6865 7.5355 8.2595
angles (deg): 117.14 90.00 90.00
Positions (direct):
Dy (0.0000, 0.0000, 0.0000)
Dy (0.5000, 0.5000, 0.0000)
Dy (0.8332, 0.8069, 0.2718)
Dy (0.1668, 0.4649, 0.2718)
Dy (0.3332, 0.9649, 0.2718)
Dy (0.6668, 0.3069, 0.2718)
Dy (0.1668, 0.1931, 0.7282)
Dy (0.8332, 0.5351, 0.7282)
Dy (0.6668, 0.0351, 0.7282)
Dy (0.3332, 0.6931, 0.7282)
Pd (0.0000, 0.2031, 0.4062)
Pd (0.5000, 0.7031, 0.4062)
Pd (0.0000, 0.7969, 0.5938)
Pd (0.5000, 0.2969, 0.5938)
Pt (0.6323, 0.8679, 0.0000)
Pt (0.3677, 0.1321, 0.0000)
Pt (0.1323, 0.6321, 0.0000)
Pt (0.8677, 0.3679, 0.0000)

Properties
Energy relative to the elements   -0.97 eV per atom
Crystal system   orthorhombic


No. 3
The following is a DFT calculation (PBE-GGA) of GdZrHgAu after structural relaxation.

a b c (Å): 5.0795 5.0795 5.0795
angles (deg): 60.00 60.00 60.00
Positions (direct):
Gd (0.7500, 0.7500, 0.7500)
Au (0.0000, 0.0000, 0.0000)
Hg (0.5000, 0.5000, 0.5000)
Zr (0.2500, 0.2500, 0.2500)

Properties
Energy relative to the elements   -0.40 eV per atom
Crystal system   cubic


No. 4
The following is a DFT calculation (PBE-GGA) of Li2AlAg6 after structural relaxation.

a b c (Å): 2.8929 7.7492 7.7492
angles (deg): 120.17 90.00 90.00
Positions (direct):
Li (0.0000, 0.6663, 0.3330)
Li (0.0000, 0.3330, 0.6663)
Al (0.5000, 0.0010, 0.0010)
Ag (0.5000, 0.3666, 0.3666)
Ag (0.5000, 0.6333, 0.9995)
Ag (0.5000, 0.9995, 0.6333)
Ag (0.0000, 0.6976, 0.6976)
Ag (0.0000, 0.3030, 0.9996)
Ag (0.0000, 0.9996, 0.3030)

Properties
Energy relative to the elements   -0.13 eV per atom
Energy above the most stable polymorph in this dataset   24 meV per atom
Crystal system   orthorhombic


No. 5
The following is a DFT calculation (PBE-GGA) of Mn2MoAsRh after structural relaxation.

a b c (Å): 4.7813 4.6564 4.7813
angles (deg): 90.00 90.00 90.00
Positions (direct):
Mo (0.0000, 0.5000, 0.0000)
Mn (0.0000, 0.0000, 0.5000)
Mn (0.5000, 0.0000, 0.0000)
Rh (0.0000, 0.0000, 0.0000)
As (0.5000, 0.5000, 0.5000)

Properties
Energy relative to the elements   1.05 eV per atom
Crystal system   tetragonal


No. 6
The following is a DFT calculation (PBE-GGA) of TiAu2O after structural relaxation.

a b c (Å): 7.1280 7.1280 5.6209
angles (deg): 50.65 50.65 90.00
Positions (direct):
Au (0.5873, 0.1250, 0.2500)
Au (0.1627, 0.6250, 0.2500)
Au (0.3750, 0.4127, 0.7500)
Au (0.8750, 0.8373, 0.7500)
O (0.5000, 0.5000, 0.0000)
O (0.2500, 0.7500, 0.5000)
Ti (0.0000, 0.0000, 0.0000)
Ti (0.7500, 0.2500, 0.5000)

Properties
Crystal system   tetragonal
Energy relative to the elements, uncorrected   -0.8 eV/f.u.


No. 7
The following is a DFT calculation (PBE-GGA) of Ho2NpO8 after structural relaxation.

a b c (Å): 3.8896 5.8858 8.0585
angles (deg): 113.91 108.14 69.74
Positions (direct):
Ho (0.7193, 0.2356, 0.6445)
Ho (0.2807, 0.7644, 0.3555)
Np (0.5000, 0.0000, 0.0000)
O (0.5229, 0.6618, 0.8419)
O (0.6839, 0.9482, 0.3558)
O (0.8351, 0.5187, 0.5190)
O (0.9586, 0.1340, 0.9077)
O (0.1649, 0.4813, 0.4810)
O (0.3161, 0.0518, 0.6442)
O (0.4771, 0.3382, 0.1581)
O (0.0414, 0.8660, 0.0923)

Properties
Crystal system   triclinic
Energy relative to the elements, uncorrected   -28.2 eV/f.u.


No. 8
The following is a DFT calculation (PBE-GGA) of KTaTlSe4 after structural relaxation.

a b c (Å): 7.1761 6.2021 11.7643
angles (deg): 90.00 99.73 90.00
Positions (direct):
K (0.7361, 0.7500, 0.4217)
K (0.2639, 0.2500, 0.5783)
Ta (0.1745, 0.7500, 0.2620)
Ta (0.8255, 0.2500, 0.7380)
Tl (0.7337, 0.7500, 0.9544)
Tl (0.2663, 0.2500, 0.0456)
Se (0.0627, 0.5218, 0.8063)
Se (0.9373, 0.0218, 0.1937)
Se (0.9373, 0.4782, 0.1937)
Se (0.0627, 0.9782, 0.8063)
Se (0.4355, 0.7500, 0.1590)
Se (0.5645, 0.2500, 0.8410)
Se (0.2649, 0.7500, 0.4673)
Se (0.7351, 0.2500, 0.5327)

Properties
Crystal system   monoclinic
Energy relative to the elements, uncorrected   -4.8 eV/f.u.


Question: What is the formula in the fifth record?
Answer: Mn2MoAsRh